Material: ThIn3I7
Method: DFT, PBE-GGA
State: optimized geometry

E_form (uncorrected) ... -8.61 eV/f.u.
Mass density ... 4.734 Mg/m³

a = 8.110 Å, b = 8.110 Å, c = 9.808 Å
α = 63.19°, β = 63.19°, γ = 79.03°
Element x y z (fractional)
1 I 0.797 0.797 0.871
2 I 0.625 0.625 0.372
3 I 0.611 0.153 0.239
4 I 0.928 0.315 0.754
5 I 0.153 0.611 0.239
6 I 0.160 0.160 0.100
7 I 0.315 0.928 0.754
8 In 0.858 0.242 0.470
9 In 0.503 0.503 0.930
10 In 0.242 0.858 0.470
11 Th 0.934 0.934 0.052